(1)
CsPdI2: optimized geometry, PBE-GGA.

Properties
Polymorph energy (0 for the lowest one) in meV/atom: 0
Energy in eV/atom: -3.01

Cell: 8.0485 4.9148 16.8148 Å, 90.00 90.00 90.00°
Space group Pnma (No. 62)
Unique sites:
Cs 0.2449 0.2500 0.1176
Pd 0.2462 0.7500 0.3635
I 0.0045 0.2500 0.7497
I 0.2460 0.2500 0.4309

---

(2)
CaPmPtPb: optimized geometry, PBE-GGA.

Properties
Polymorph energy (0 for the lowest one) in meV/atom: 0
Energy in eV/atom: -4.93
Formation energy in eV per atom: -0.800

Cell: 3.5959 3.5959 8.1409 Å, 90.00 90.00 90.00°
Space group P4mm (No. 99)
Unique sites:
Ca 0.0000 0.0000 0.0000
Pm 0.0000 0.0000 0.5757
Pt 0.5000 0.5000 0.7715
Pb 0.5000 0.5000 0.2823